A plane-wave DFT calculation with GGA-PBE was carried out for a relaxed MgSnH2O crystal.

Cell and atoms, written as POSCAR:
```
MgSnH2O
1.0
-2.515 -2.106 -2.161
3.237 -3.269 -0.582
-1.259 -1.824 3.243
H Mg Sn O
2 1 1 1
Direct
0.000 0.000 0.500
0.500 0.000 0.000
0.500 0.500 0.500
0.000 0.500 0.000
0.000 0.000 0.000
```

total magnetic moment: 0.0 μB per cell
DOS(E_F): 0.8 states/eV/f.u.
crystal system: tetragonal
V: 14.31 Å³ per atom
polymorph energy (0 for the lowest one): 0.3189 eV/atom



A plane-wave DFT calculation with GGA-PBE was carried out for a relaxed MgSnH2O crystal.

Cell and atoms, written as POSCAR:
```
MgSnH2O
1.0
4.413 0.000 0.000
0.000 3.613 0.000
0.000 0.000 4.413
H Mg Sn O
2 1 1 1
Direct
0.000 0.000 0.500
0.500 0.000 0.000
0.000 0.500 0.000
0.500 0.500 0.500
0.000 0.000 0.000
```

total magnetic moment: 0.0 μB per cell
DOS(E_F): 1.7 states/eV/f.u.
crystal system: tetragonal
V: 14.08 Å³ per atom
polymorph energy (0 for the lowest one): 0.0000 eV/atom



A plane-wave DFT calculation with GGA-PBE was carried out for a relaxed Sr3Mg2H5O2 crystal.

Cell and atoms, written as POSCAR:
```
Sr3Mg2H5O2
1.0
-2.828 -2.145 1.532
2.628 -2.464 1.402
0.648 8.028 7.561
Sr Mg H O
3 2 5 2
Direct
0.191 0.191 0.382
0.809 0.809 0.618
0.000 0.000 0.000
0.400 0.400 0.799
0.600 0.600 0.201
0.587 0.087 0.175
0.413 0.913 0.825
0.087 0.587 0.175
0.913 0.413 0.825
0.500 0.500 0.000
0.694 0.694 0.389
0.306 0.306 0.611
```

total magnetic moment: 0.1 μB per cell
VASP energy: -4.00 eV/atom
DOS(E_F): 3.6 states/eV/f.u.
crystal system: tetragonal
V: 13.33 Å³ per atom



A plane-wave DFT calculation with GGA-PBE was carried out for a relaxed MgTeH12O9 crystal.

Cell and atoms, written as POSCAR:
```
MgTeH12O9
1.0
5.521 0.414 0.219
2.170 7.520 -0.177
2.283 3.008 7.199
Mg Te H O
1 1 12 9
Direct
0.001 0.749 0.127
0.749 0.229 0.847
0.558 0.963 0.285
0.233 0.417 0.056
0.657 0.696 0.435
0.409 0.705 0.282
0.734 0.285 0.132
0.819 0.836 0.637
0.362 0.242 0.595
0.919 0.774 0.582
0.271 0.523 0.369
0.401 0.057 0.862
0.961 0.486 0.005
0.309 0.230 0.421
0.265 0.658 0.276
0.504 0.118 0.249
0.991 0.999 0.932
0.431 0.172 0.074
0.090 0.535 0.028
0.650 0.763 0.305
0.529 0.126 0.761
0.795 0.364 0.002
0.244 0.307 0.505
```

total magnetic moment: 0.1 μB per cell
DOS(E_F): 0.0 states/eV/f.u.
crystal system: triclinic
V: 12.73 Å³ per atom
polymorph energy (0 for the lowest one): 0.2278 eV/atom



A plane-wave DFT calculation with GGA-PBE was carried out for a relaxed Mg2TeHO6 crystal.

Cell and atoms, written as POSCAR:
```
Mg2TeHO6
1.0
-4.007 2.235 -2.652
-4.655 -2.515 -0.610
-4.556 1.859 3.102
Mg Te H O
2 1 1 6
Direct
0.512 0.542 0.410
0.990 0.027 0.982
0.309 0.344 0.029
0.923 0.596 0.740
0.564 0.268 0.219
0.249 0.967 0.197
0.925 0.610 0.197
0.384 0.709 0.746
0.692 0.189 0.749
0.113 0.410 0.747
```

total magnetic moment: 1.0 μB per cell
VASP energy: -5.50 eV/atom
DOS(E_F): 0.7 states/eV/f.u.
crystal system: triclinic
V: 11.86 Å³ per atom



A plane-wave DFT calculation with GGA-PBE was carried out for a relaxed MgTeH12O9 crystal.

Cell and atoms, written as POSCAR:
```
MgTeH12O9
1.0
6.020 -0.022 -0.026
-0.784 5.968 -0.026
-0.784 -0.891 5.902
H Mg O Te
12 1 9 1
Direct
0.545 0.956 0.034
0.034 0.545 0.956
0.956 0.034 0.545
0.636 0.737 0.126
0.126 0.636 0.737
0.737 0.126 0.636
0.424 0.279 0.078
0.078 0.424 0.279
0.279 0.078 0.424
0.385 0.174 0.817
0.817 0.385 0.174
0.174 0.817 0.385
0.005 0.005 0.005
0.587 0.495 0.234
0.234 0.587 0.495
0.495 0.234 0.587
0.679 0.876 0.056
0.056 0.679 0.876
0.876 0.056 0.679
0.344 0.139 0.967
0.967 0.344 0.139
0.139 0.967 0.344
0.543 0.543 0.543
```

total magnetic moment: 0.0 μB per cell
DOS(E_F): 0.0 states/eV/f.u.
crystal system: trigonal
V: 9.20 Å³ per atom
polymorph energy (0 for the lowest one): 0.0000 eV/atom



A plane-wave DFT calculation with GGA-PBE was carried out for a relaxed MgTl2HO crystal.

Cell and atoms, written as POSCAR:
```
MgTl2HO
1.0
5.477 0.000 0.000
0.000 3.592 0.000
0.000 0.000 5.477
H Tl Mg O
1 2 1 1
Direct
0.000 0.500 0.000
0.000 0.000 0.500
0.500 0.000 0.000
0.000 0.000 0.000
0.500 0.500 0.500
```

total magnetic moment: 0.0 μB per cell
VASP energy: -2.55 eV/atom
DOS(E_F): 5.0 states/eV/f.u.
crystal system: tetragonal
V: 21.55 Å³ per atom